NpBr3 | SCAN | PBEsol geometry

Cell lengths 6.853, 6.853, 8.944 Å; angles 90.00, 90.00, 146.64 degrees
Element x y z (fractional)
Np 0.238 0.762 0.750
Np 0.762 0.238 0.250
Br 0.150 0.850 0.066
Br 0.150 0.850 0.434
Br 0.418 0.582 0.250
Br 0.582 0.418 0.750
Br 0.850 0.150 0.566
Br 0.850 0.150 0.934

* space-group type: Cmcm, No. 63
* size of the total moment: 1.00 μB per atom
* formation energy from raw total energies: -1.4883 eV per atom
* total DFT energy (no corrections): -42.835 eV per atom